1.
DFT (PBE) results for a relaxed structure of LaV3Si.

Properties
* ρ: 5.55 g cm⁻³
* formation energy (no corrections): 9.24 eV per formula unit
* uncorrected energy: -0.209 Ha/atom
* N(E_F): 1.7937 states/eV per atom
* crystal system: cubic
* magnetic moment: 0.8 μB per formula unit

abc: 4.575 4.575 4.575
angles: 90.00 90.00 90.00
Fractional positions:
V 0.000 0.000 0.500
V 0.000 0.500 0.000
V 0.500 0.000 0.000
La 0.000 0.000 0.000
Si 0.500 0.500 0.500

2.
DFT (PBE) results for a relaxed structure of Y3Zn3Au.

Properties
* ρ: 6.89 g cm⁻³
* uncorrected energy: -0.156 Ha/atom
* N(E_F): 1.0329 states/eV per atom
* crystal system: orthorhombic
* energy of formation: -45.0 kJ per mole of atoms
* magnetic moment: 0.0 μB per formula unit

abc: 4.461 3.695 10.074
angles: 100.57 102.79 90.00
Fractional positions:
Au 0.435 0.435 0.870
Zn 0.855 0.355 0.711
Y 0.693 0.193 0.385
Zn 0.140 0.640 0.281
Zn 0.569 0.569 0.139
Y 0.998 0.998 0.996
Y 0.309 0.809 0.618

3.
DFT (PBE) results for a relaxed structure of CoNiPd.

Properties
* ρ: 9.86 g cm⁻³
* uncorrected energy: -0.219 Ha/atom
* N(E_F): 1.2634 states/eV per atom
* crystal system: orthorhombic
* energy of formation: 5.4 kJ per mole of atoms
* magnetic moment: 2.8 μB per formula unit

abc: 2.635 8.867 6.457
angles: 90.00 90.00 90.00
Fractional positions:
Pd 0.750 0.421 0.334
Pd 0.750 0.079 0.834
Co 0.750 0.105 0.428
Co 0.250 0.605 0.072
Co 0.250 0.895 0.572
Ni 0.250 0.213 0.132
Pd 0.250 0.579 0.666
Ni 0.250 0.287 0.632
Pd 0.250 0.921 0.166
Ni 0.750 0.787 0.868
Ni 0.750 0.713 0.368
Co 0.750 0.395 0.928

4.
DFT (PBE) results for a relaxed structure of NdY2PuN4.

Properties
* ρ: 8.38 g cm⁻³
* formation energy (no corrections): -11.79 eV per formula unit
* uncorrected energy: -0.354 Ha/atom
* N(E_F): 0.9252 states/eV per atom
* crystal system: monoclinic
* magnetic moment: 4.7 μB per formula unit

abc: 3.527 6.090 6.085
angles: 109.37 90.00 90.00
Fractional positions:
Pu 0.000 0.000 0.000
N 0.000 0.763 0.253
Y 0.000 0.500 0.500
N 0.500 0.239 0.247
Nd 0.500 0.500 0.000
N 0.000 0.237 0.747
N 0.500 0.761 0.753
Y 0.500 0.000 0.500

5.
DFT (PBE) results for a relaxed structure of SrLa2Be.

Properties
* ρ: 4.89 g cm⁻³
* uncorrected energy: -0.123 Ha/atom
* N(E_F): 1.2846 states/eV per atom
* crystal system: orthorhombic
* energy of formation: 46.0 kJ per mole of atoms
* magnetic moment: 0.0 μB per formula unit

abc: 3.943 5.614 5.744
angles: 90.00 90.00 90.00
Fractional positions:
Sr 0.500 0.000 0.500
La 0.500 0.500 0.000
Be 0.000 0.500 0.500
La 0.000 0.000 0.000

6.
DFT (PBE) results for a relaxed structure of AcDy2RuN4.

Properties
* ρ: 9.57 g cm⁻³
* formation energy (no corrections): -7.96 eV per formula unit
* uncorrected energy: -0.293 Ha/atom
* N(E_F): 0.3461 states/eV per atom
* crystal system: orthorhombic
* magnetic moment: 0.0 μB per formula unit

abc: 3.521 6.223 11.708
angles: 90.00 90.00 106.43
Fractional positions:
N 0.428 0.856 0.750
N 0.572 0.144 0.250
N 0.735 0.471 0.878
Ac 0.107 0.215 0.750
N 0.735 0.471 0.622
N 0.265 0.529 0.378
Dy 0.631 0.263 0.457
Dy 0.631 0.263 0.043
N 0.265 0.529 0.122
Ac 0.893 0.785 0.250
Dy 0.369 0.737 0.957
Dy 0.369 0.737 0.543
N 0.000 0.000 0.500
N 0.000 0.000 0.000
Ru 0.846 0.691 0.750
Ru 0.154 0.309 0.250

7.
DFT (PBE) results for a relaxed structure of KCaAs2.

Properties
* ρ: 3.44 g cm⁻³
* uncorrected energy: -0.127 Ha/atom
* N(E_F): 0.4035 states/eV per atom
* crystal system: trigonal
* energy of formation: -33.5 kJ per mole of atoms
* magnetic moment: 0.0 μB per formula unit

abc: 9.766 9.766 9.766
angles: 21.58 21.58 21.58
Fractional positions:
As 0.507 0.507 0.507
Ca 0.250 0.250 0.250
As 0.993 0.993 0.993
K 0.750 0.750 0.750

8.
DFT (PBE) results for a relaxed structure of Ce2CoNi.

Properties
* ρ: 8.54 g cm⁻³
* uncorrected energy: -0.233 Ha/atom
* N(E_F): 2.1437 states/eV per atom
* crystal system: tetragonal
* energy of formation: -15.4 kJ per mole of atoms
* magnetic moment: 0.0 μB per formula unit

abc: 3.381 3.381 6.766
angles: 90.00 90.00 90.00
Fractional positions:
Ce 0.000 0.000 0.760
Co 0.500 0.500 0.000
Ce 0.000 0.000 0.240
Ni 0.500 0.500 0.500

Which of these has the lowest N(E_F)?
AcDy2RuN4